Version w
Material: BaLa2PtO5
Method: DFT, PBE
State: relaxed

abc: 6.9077 6.9077 12.5456
angles: 90.00 90.00 90.00
Closest atoms and distances in Å follow each position.
Space group I4/mcm (No. 140)
Symmetry-distinct sites (fractional):
Ba 0.0000 0.0000 0.2500 [4 per cell]  10 O 3.14, 4 Pt 3.45
La 0.1756 0.3244 0.0000 [8 per cell]  8 O 2.36-2.64
Pt 0.0000 0.5000 0.2500 [4 per cell]  4 O 2.12
O 0.0000 0.0000 0.0000 [4 per cell]  4 La 2.55
O 0.1375 0.3625 0.3805 [16 per cell]  1 Pt 2.12, 1 La 2.36

Results
Spin magnetization: 2.0 μB per formula unit

Version x
Material: BaLa2PtO5
Method: DFT, PBE
State: relaxed

abc: 6.9465 6.9465 5.9988
angles: 90.00 90.00 90.00
Closest atoms and distances in Å follow each position.
Space group P4/mbm (No. 127)
Symmetry-distinct sites (fractional):
Ba 0.0000 0.0000 0.0000 [2 per cell]  10 O 3.00-3.06
La 0.1770 0.3230 0.5000 [4 per cell]  4 O 2.34-2.56
Pt 0.0000 0.5000 0.0000 [2 per cell]  4 O 2.03
O 0.0000 0.0000 0.5000 [2 per cell]  4 La 2.56
O 0.1411 0.6411 0.2482 [8 per cell]  1 Pt 2.03

Results
Spin magnetization: 0.0 μB per formula unit

Energies, relative to the best one, in kJ/mol of atoms: version w 25.7; version x 0.0.